Entry 1:
Density functional theory data (PBE) for a relaxed Ba2HgTe2 crystal.

Unit cell a=8.096 b=8.096 c=8.096 alpha=132.56 beta=132.56 gamma=69.35
Positions (direct):
Ba (0.250, 0.750, 0.500)
Ba (0.750, 0.250, 0.500)
Hg (0.000, 0.000, 0.000)
Te (0.327, 0.327, 0.000)
Te (0.673, 0.673, 0.000)

Properties
As for the raw formation energy: -1.106 eV per atom. As for the mass density: 4.294 g cm⁻³. Its density of states at the Fermi level is 0.00 states/eV/cell. The relative energy among the computed polymorphs is 1.02 eV per formula unit.

=====

Entry 2:
Density functional theory data (PBE) for a relaxed BaFe2Rh2 crystal.

Unit cell a=6.243 b=6.243 c=6.243 alpha=140.22 beta=140.22 gamma=57.52
Positions (direct):
Ba (0.000, 0.000, 0.000)
Fe (0.250, 0.750, 0.500)
Fe (0.750, 0.250, 0.500)
Rh (0.373, 0.373, 0.000)
Rh (0.627, 0.627, 0.000)

Properties
As for the mass density: 7.645 g cm⁻³. Its density of states at the Fermi level is 5.47 states/eV/cell. As for the energy of formation from the pure elements: 0.12 eV per atom.

=====

Entry 3:
Density functional theory data (PBE) for a relaxed KCd2Ga crystal.

Unit cell a=6.780 b=6.780 c=6.780 alpha=41.62 beta=41.62 gamma=41.62
Positions (direct):
K (0.000, 0.000, 0.000)
Cd (0.200, 0.200, 0.200)
Cd (0.484, 0.484, 0.484)
Ga (0.797, 0.797, 0.797)

Properties
As for the mass density: 4.456 g cm⁻³. Its density of states at the Fermi level is 1.02 states/eV/cell. As for the energy of formation from the pure elements: -0.04 eV per atom.

=====

Entry 4:
Density functional theory data (PBE) for a relaxed Cd2Cl3F crystal.

Unit cell a=8.801 b=8.801 c=12.969 alpha=127.09 beta=127.09 gamma=25.02
Positions (direct):
Cd (0.227, 0.227, 0.106)
Cd (0.268, 0.268, 0.643)
Cd (0.732, 0.732, 0.357)
Cd (0.773, 0.773, 0.894)
Cl (0.117, 0.117, 0.186)
Cl (0.352, 0.352, 0.523)
Cl (0.367, 0.367, 0.079)
Cl (0.633, 0.633, 0.921)
Cl (0.648, 0.648, 0.477)
Cl (0.883, 0.883, 0.814)
F (0.211, 0.211, 0.763)
F (0.789, 0.789, 0.237)

Properties
As for the raw formation energy: -1.356 eV per atom. As for the mass density: 3.481 g cm⁻³. Its density of states at the Fermi level is 0.00 states/eV/cell. The relative energy among the computed polymorphs is 0.00 eV per formula unit.